Entry 1:
Here is an optimized crystal structure of Dy5Er2Th3 from Alexandria. Energies are from PBE.

```
Dy5Er2Th3
1.0
-3.255 -0.400 -3.811
-5.856 -0.469 1.736
-6.936 10.725 1.483
Dy Er Th
5 2 3
Cartesian
0.000 0.000 0.000
-4.818 6.356 0.132
-11.229 3.500 -0.724
-5.905 0.567 -1.648
-10.142 9.289 1.056
-8.526 1.537 0.489
-7.522 8.319 -1.081
-8.024 4.928 -0.296
-5.344 2.933 0.941
-10.704 6.923 -1.533
```

Output
Space group ... C2/m, No. 12


Entry 2:
Here is an optimized crystal structure of Dy3Er2Th6 from Alexandria. Energies are from PBE.

```
Dy3Er2Th6
1.0
-0.810 -3.434 -0.535
0.720 -1.534 -3.140
28.523 -10.048 9.422
Dy Er Th
3 2 6
Cartesian
0.000 0.000 0.000
23.276 -11.836 5.038
5.157 -3.181 0.709
10.299 -6.357 1.413
18.134 -8.660 4.335
7.703 -7.259 -0.769
20.730 -7.758 6.516
15.464 -9.540 2.125
12.969 -5.477 3.622
2.539 -4.076 -1.481
25.895 -10.940 7.228
```

Output
Space group ... R-3m, No. 166


Entry 3:
Here is an optimized crystal structure of Dy2Er3Th4 from Alexandria. Energies are from PBE.

```
Dy2Er3Th4
1.0
5.021 0.000 0.000
-2.510 4.978 -5.600
0.000 -2.586 14.313
Dy Er Th
2 3 4
Cartesian
2.510 1.870 1.692
0.000 0.522 7.021
2.510 -1.173 8.970
0.000 0.000 0.000
0.000 3.565 -0.257
2.510 -0.932 12.408
0.000 3.324 -3.695
2.510 2.159 5.174
0.000 0.233 3.539
```

Output
Energy above the most stable polymorph in this dataset ... 0.0000 eV/atom
Space group ... C2/m, No. 12


Entry 4:
Here is an optimized crystal structure of DyErTh2 from Alexandria. Energies are from PBE.

```
DyErTh2
1.0
-0.913 3.041 1.589
-3.401 -0.586 -0.832
-1.276 -4.922 8.688
Dy Th Er
1 2 1
Cartesian
-2.795 -1.234 4.723
-0.958 -3.698 6.527
-0.317 -1.224 2.161
-2.157 1.227 0.379
```

Output
Energy above the most stable polymorph in this dataset ... 0.0159 eV/atom
Space group ... P4/mmm, No. 123


Entry 5:
Here is an optimized crystal structure of Dy6Er5Th2 from Alexandria. Energies are from PBE.

```
Dy6Er5Th2
1.0
-1.129 2.731 1.979
-10.922 -3.366 -1.586
1.149 -11.553 16.604
Dy Er Th
12 10 4
Cartesian
-0.369 -4.372 5.825
-9.404 -10.547 9.193
-6.077 -3.568 1.458
-3.696 -11.351 13.560
-3.903 -1.148 2.555
-6.999 -11.039 14.442
-9.076 -5.726 5.921
-1.826 -6.462 11.075
-5.726 -6.892 6.246
-4.047 -8.028 8.772
-0.680 -1.036 1.043
-9.093 -13.883 13.975
-3.393 -4.652 7.683
-7.510 -7.535 9.313
-9.272 -2.125 0.839
-1.630 -10.063 16.158
-6.615 -3.907 4.815
-4.287 -8.280 12.181
-1.238 -1.387 4.405
-9.665 -10.801 12.591
-6.025 -0.317 0.196
0.010 -4.411 9.291
-3.227 -4.239 4.011
-6.546 -10.680 11.007
-8.739 -5.402 2.470
-1.034 -9.517 12.548
```

Output
Space group ... Pbam, No. 55


Entry 6:
Here is an optimized crystal structure of Dy5Er5Th from Alexandria. Energies are from PBE.

```
Dy5Er5Th
1.0
6.022 0.000 0.000
-3.011 5.215 0.000
0.000 0.000 11.451
Dy Er Th
5 5 1
Cartesian
1.515 0.875 5.725
0.000 0.000 3.006
3.011 3.465 5.725
4.506 0.875 5.725
0.000 0.000 8.445
3.011 1.738 1.752
3.011 1.738 9.699
0.000 3.477 3.733
0.000 3.477 7.717
0.000 0.000 0.000
0.000 3.477 0.000
```

Output
Space group ... P-6m2, No. 187


Entry 7:
Here is an optimized crystal structure of Dy2Er2Th from Alexandria. Energies are from PBE.

```
Dy2Er2Th
1.0
5.823 0.000 -1.574
0.661 6.297 2.445
-0.193 5.044 10.841
Dy Er Th
4 4 2
Cartesian
1.358 2.151 3.912
5.162 6.042 6.426
4.933 9.191 7.800
1.129 5.300 5.286
2.876 6.254 8.865
2.314 9.403 10.329
3.415 5.087 2.846
3.977 1.939 1.382
5.901 4.723 0.372
0.583 1.574 0.498
```

Output
Energy above the most stable polymorph in this dataset ... 0.0362 eV/atom
Space group ... C2/c, No. 15


Entry 8:
Here is an optimized crystal structure of DyErTh2 from Alexandria. Energies are from PBE.

```
DyErTh2
1.0
-0.934 1.078 -3.266
-1.535 -2.288 -2.260
-11.144 2.618 2.108
Dy Th Er
1 2 1
Cartesian
0.000 0.000 0.000
-10.202 1.053 -2.567
-3.412 0.354 -0.851
-6.807 0.704 -1.709
```

Output
Energy above the most stable polymorph in this dataset ... 0.0005 eV/atom
Space group ... R-3m, No. 166


| no. | ΔE_f (eV per formula unit) |
| --- | --- |
| 1 | 0.3 |
| 2 | 0.3 |
| 3 | 0.3 |
| 4 | 0.2 |
| 5 | 1.5 |
| 6 | 4.0 |
| 7 | 0.4 |
| 8 | 0.1 |